--- A ---
The following is a DFT calculation (SCAN) of a PBEsol-optimized structure of WC.

Values from the calculation:
The value obtained for the calculated density is 15.327 Mg/m³.

Cell lengths 2.8912, 3.8946, 3.9506 Å; angles 90.00, 90.00, 107.46 degrees
With the nearest neighbours (Å) after each atom.
Sites, in units of the cell vectors:
W 0.8076 0.7370 0.2500  5 C 2.12-2.21
W 0.1924 0.2630 0.7500  5 C 2.12-2.21
C 0.5384 0.8293 0.7500  5 W 2.12-2.21
C 0.4616 0.1707 0.2500  5 W 2.12-2.21

=====

--- B ---
The following is a DFT calculation (SCAN) of a PBEsol-optimized structure of WC.

Values from the calculation:
The value obtained for the calculated density is 14.063 Mg/m³.

Cell lengths 2.8649, 5.2880, 5.2880 Å; angles 120.00, 90.00, 90.00 degrees
With the nearest neighbours (Å) after each atom.
Sites, in units of the cell vectors:
W 0.0000 0.3730 0.0000  5 C 1.97-2.20
W 0.0000 0.6270 0.6270  5 C 1.97-2.20
W 0.0000 0.0000 0.3730  5 C 1.97-2.20
C 0.5000 0.6667 0.3333  6 W 2.20
C 0.0000 0.0000 0.0000  3 W 1.97
C 0.5000 0.3333 0.6667  6 W 2.20

=====

It is B that is the most stable of them.